This record from Alexandria via LeMat-Bulk describes crystalline InAg2Br6 at its relaxed geometry. The functional is GGA-PBE.

CIF file:
```
data_InAg2Br6
_chemical_formula_sum 'In2 Ag4 Br12'
_cell_length_a 6.890
_cell_length_b 7.209
_cell_length_c 12.720
_cell_angle_alpha 90.00
_cell_angle_beta 115.75
_cell_angle_gamma 90.00
_symmetry_space_group_name_H-M 'P 1 21/c 1'
_symmetry_Int_Tables_number 14
_symmetry_space_group_name_Hall '-P 2ybc'
loop_
_atom_site_label
_atom_site_fract_x
_atom_site_fract_y
_atom_site_fract_z
In1 0.000 0.000 0.000
Ag1 0.358 0.130 0.843
Br1 0.090 0.195 0.409
Br2 0.256 0.691 0.430
Br3 0.371 0.064 0.218
```

Results
uncorrected energy	-45.8	eV per cell
N(E_F)	4.27	states/eV/f.u.
formation energy from raw total energies	-47.43	kJ/mol of atoms

This record from Alexandria via LeMat-Bulk describes crystalline InAg2Br at its relaxed geometry. The functional is GGA-PBE.

CIF file:
```
data_InAg2Br
_chemical_formula_sum 'In4 Ag8 Br4'
_cell_length_a 7.233
_cell_length_b 7.233
_cell_length_c 7.233
_cell_angle_alpha 90.00
_cell_angle_beta 90.00
_cell_angle_gamma 90.00
_symmetry_space_group_name_H-M 'F m -3 m'
_symmetry_Int_Tables_number 225
_symmetry_space_group_name_Hall '-F 4 2 3'
loop_
_atom_site_label
_atom_site_fract_x
_atom_site_fract_y
_atom_site_fract_z
In1 0.000 0.000 0.000
Ag1 0.250 0.250 0.250
Br1 0.000 0.000 0.500
```

Results
uncorrected energy	-37.3	eV per cell
N(E_F)	4.81	states/eV/f.u.
formation energy from raw total energies	19.00	kJ/mol of atoms

This record from Alexandria via LeMat-Bulk describes crystalline InAgBr at its relaxed geometry. The functional is GGA-PBE.

CIF file:
```
data_InAgBr
_chemical_formula_sum 'In2 Ag2 Br2'
_cell_length_a 4.231
_cell_length_b 6.604
_cell_length_c 6.672
_cell_angle_alpha 66.14
_cell_angle_beta 71.54
_cell_angle_gamma 89.97
_symmetry_space_group_name_H-M 'P -1'
_symmetry_Int_Tables_number 2
_symmetry_space_group_name_Hall '-P 1'
loop_
_atom_site_label
_atom_site_fract_x
_atom_site_fract_y
_atom_site_fract_z
In1 0.022 0.285 0.455
Ag1 0.384 0.948 0.733
Br1 0.279 0.274 0.940
```

Results
uncorrected energy	-16.0	eV per cell
N(E_F)	0.52	states/eV/f.u.
formation energy from raw total energies	-23.75	kJ/mol of atoms

This record from Alexandria via LeMat-Bulk describes crystalline In2AgBr at its relaxed geometry. The functional is GGA-PBE.

CIF file:
```
data_In2AgBr
_chemical_formula_sum 'In2 Ag1 Br1'
_cell_length_a 3.519
_cell_length_b 3.689
_cell_length_c 8.163
_cell_angle_alpha 90.00
_cell_angle_beta 90.06
_cell_angle_gamma 90.00
_symmetry_space_group_name_H-M 'P 1 2/m 1'
_symmetry_Int_Tables_number 10
_symmetry_space_group_name_Hall '-P 2y'
loop_
_atom_site_label
_atom_site_fract_x
_atom_site_fract_y
_atom_site_fract_z
In1 0.001 0.000 0.207
Ag1 0.500 0.500 0.000
Br1 0.000 0.500 0.500
```

Results
uncorrected energy	-10.7	eV per cell
N(E_F)	1.33	states/eV/f.u.
formation energy from raw total energies	-15.89	kJ/mol of atoms

This record from Alexandria via LeMat-Bulk describes crystalline InAg2Br at its relaxed geometry. The functional is GGA-PBE.

CIF file:
```
data_InAg2Br
_chemical_formula_sum 'In4 Ag8 Br4'
_cell_length_a 7.350
_cell_length_b 7.350
_cell_length_c 7.350
_cell_angle_alpha 90.00
_cell_angle_beta 90.00
_cell_angle_gamma 90.00
_symmetry_space_group_name_H-M 'F -4 3 m'
_symmetry_Int_Tables_number 216
_symmetry_space_group_name_Hall 'F -4 2 3'
loop_
_atom_site_label
_atom_site_fract_x
_atom_site_fract_y
_atom_site_fract_z
In1 0.000 0.000 0.000
Ag1 0.000 0.000 0.500
Ag2 0.250 0.250 0.250
Br1 0.250 0.250 0.750
```

Results
uncorrected energy	-37.4	eV per cell
N(E_F)	0.69	states/eV/f.u.
formation energy from raw total energies	18.48	kJ/mol of atoms

This record from Alexandria via LeMat-Bulk describes crystalline InAg2Br6 at its relaxed geometry. The functional is GGA-PBE.

CIF file:
```
data_InAg2Br6
_chemical_formula_sum 'In4 Ag8 Br24'
_cell_length_a 15.784
_cell_length_b 13.561
_cell_length_c 7.274
_cell_angle_alpha 90.00
_cell_angle_beta 116.98
_cell_angle_gamma 90.00
_symmetry_space_group_name_H-M 'C 1 2/c 1'
_symmetry_Int_Tables_number 15
_symmetry_space_group_name_Hall '-C 2yc'
loop_
_atom_site_label
_atom_site_fract_x
_atom_site_fract_y
_atom_site_fract_z
In1 0.000 0.244 0.250
Ag1 0.241 0.453 0.538
Br1 0.091 0.355 0.563
Br2 0.098 0.131 0.137
Br3 0.239 0.383 0.209
```

Results
uncorrected energy	-90.3	eV per cell
N(E_F)	10.43	states/eV/f.u.
formation energy from raw total energies	-43.84	kJ/mol of atoms

This record from Alexandria via LeMat-Bulk describes crystalline InAg2Br at its relaxed geometry. The functional is GGA-PBE.

CIF file:
```
data_InAg2Br
_chemical_formula_sum 'In2 Ag4 Br2'
_cell_length_a 4.430
_cell_length_b 4.430
_cell_length_c 9.518
_cell_angle_alpha 90.00
_cell_angle_beta 90.00
_cell_angle_gamma 90.00
_symmetry_space_group_name_H-M 'I 4/m m m'
_symmetry_Int_Tables_number 139
_symmetry_space_group_name_Hall '-I 4 2'
loop_
_atom_site_label
_atom_site_fract_x
_atom_site_fract_y
_atom_site_fract_z
In1 0.000 0.000 0.000
Ag1 0.000 0.500 0.250
Br1 0.000 0.000 0.500
```

Results
uncorrected energy	-19.4	eV per cell
N(E_F)	0.84	states/eV/f.u.
formation energy from raw total energies	9.78	kJ/mol of atoms

This record from Alexandria via LeMat-Bulk describes crystalline InAgBr at its relaxed geometry. The functional is GGA-PBE.

CIF file:
```
data_InAgBr
_chemical_formula_sum 'In4 Ag4 Br4'
_cell_length_a 6.600
_cell_length_b 4.327
_cell_length_c 11.544
_cell_angle_alpha 90.00
_cell_angle_beta 90.00
_cell_angle_gamma 90.00
_symmetry_space_group_name_H-M 'I m a 2'
_symmetry_Int_Tables_number 46
_symmetry_space_group_name_Hall 'I 2 -2a'
loop_
_atom_site_label
_atom_site_fract_x
_atom_site_fract_y
_atom_site_fract_z
In1 0.000 0.000 0.000
Ag1 0.250 0.038 0.404
Br1 0.250 0.740 0.694
```

Results
uncorrected energy	-31.8	eV per cell
N(E_F)	1.12	states/eV/f.u.
formation energy from raw total energies	-22.41	kJ/mol of atoms